First-principles (PBE with a Hubbard U) data for a relaxed VCrSnO6 crystal, as listed in Alexandria via LeMat-Bulk.

Results
* DFT total energy: -64.36 eV per formula unit
* crystal system: tetragonal
* density: 5.3 g/cm3

a = 4.6706 Å, b = 4.6706 Å, c = 9.1424 Å
α = 90.00°, β = 90.00°, γ = 90.00°
With the nearest neighbours (Å) after each atom.
Space group P4_2nm (No. 102)
Unique sites:
V 0.0000 0.0000 0.0000 [2 per cell]  6 O 1.88-1.94
Cr 0.0000 0.0000 0.6673 [2 per cell]  6 O 2.01-2.02
Sn 0.0000 0.0000 0.3357 [2 per cell]  6 O 2.07-2.08
O 0.1850 0.1850 0.8435 [4 per cell]  1 V 1.88, 1 Cr 2.02, 1 Sn 2.08
O 0.1940 0.1940 0.1559 [4 per cell]  1 V 1.92, 1 Cr 2.02, 1 Sn 2.08
O 0.2061 0.2061 0.5055 [4 per cell]  1 V 1.94, 1 Cr 2.01, 1 Sn 2.07